No. 1
DFT (PBE) results for a relaxed structure of ReAg2Cl.

a b c (Å): 5.4095 5.4095 2.7602
angles (deg): 90.00 90.00 121.10
Last column: nearest neighbours and their distance in Å.
Atoms (fractional coordinates):
Re  0.0000  0.5000  0.5000  2 Cl 2.66, 2 Re 2.76
Ag  0.0000  0.0000  0.0000  4 Ag 2.66-2.76
Ag  0.5000  0.5000  0.0000  4 Ag 2.66-2.76
Cl  0.5000  0.0000  0.5000  2 Re 2.66, 2 Cl 2.76

Values from the calculation:
The calculation puts the size of the total moment at 0.08 μB per atom. As for the space group: No. 65. For the energy relative to the elements, uncorrected, the calculation gives 299 kJ/mol of formula units. The calculation puts the energy above the most stable polymorph in this dataset at 386 meV per atom. The calculation puts the density of states at the Fermi level at 3.518 states/eV/cell.



No. 2
DFT (PBE) results for a relaxed structure of Mg6Cu6Se.

a b c (Å): 5.2128 5.2128 9.2627
angles (deg): 90.00 90.00 120.00
Last column: nearest neighbours and their distance in Å.
Atoms (fractional coordinates):
Mg  0.0000  0.0000  0.3249  6 Cu 2.69, 1 Se 3.01
Mg  0.0000  0.0000  0.6751  6 Cu 2.69, 1 Se 3.01
Mg  0.6667  0.3333  0.0000  6 Cu 2.79, 3 Se 3.01, 3 Mg 3.01
Mg  0.3333  0.6667  0.0000  6 Cu 2.79, 3 Se 3.01, 3 Mg 3.01
Mg  0.6667  0.3333  0.5000  6 Cu 2.73, 3 Mg 3.01
Mg  0.3333  0.6667  0.5000  6 Cu 2.73, 3 Mg 3.01
Cu  0.0000  0.5000  0.2540  4 Cu 2.61, 6 Mg 2.69-2.79
Cu  0.5000  0.5000  0.2540  4 Cu 2.61, 6 Mg 2.69-2.79
Cu  0.5000  0.0000  0.2540  4 Cu 2.61, 6 Mg 2.69-2.79
Cu  0.5000  0.5000  0.7460  4 Cu 2.61, 6 Mg 2.69-2.79
Cu  0.0000  0.5000  0.7460  4 Cu 2.61, 6 Mg 2.69-2.79
Cu  0.5000  0.0000  0.7460  4 Cu 2.61, 6 Mg 2.69-2.79
Se  0.0000  0.0000  0.0000  8 Mg 3.01

Values from the calculation:
The calculation puts the size of the total moment at 0.00 μB per atom. As for the space group: No. 191. For the energy relative to the elements, uncorrected, the calculation gives -125 kJ/mol of formula units. The calculation puts the energy above the most stable polymorph in this dataset at 0 meV per atom. The calculation puts the density of states at the Fermi level at 4.692 states/eV/cell.



No. 3
DFT (PBE) results for a relaxed structure of CsZnIn.

a b c (Å): 4.7985 5.9630 7.2941
angles (deg): 101.42 90.00 90.00
Last column: nearest neighbours and their distance in Å.
Atoms (fractional coordinates):
Cs  0.8120  0.8355  0.1388  4 Zn 3.65-3.91, 4 Cs 3.84-3.96, 4 In 3.91-4.08
Cs  0.3121  0.3231  0.0346  4 Zn 3.65-3.92, 4 Cs 3.84-3.96, 4 In 3.90-4.08
Zn  0.8118  0.9960  0.6478  2 Zn 2.81, 3 In 2.90-2.99
Zn  0.3118  0.1609  0.5251  2 Zn 2.81, 3 In 2.90-2.98
In  0.8122  0.4255  0.4957  3 Zn 2.90-2.99, 2 In 3.15
In  0.3122  0.7323  0.6779  3 Zn 2.90-2.98, 2 In 3.15

Values from the calculation:
The calculation puts the size of the total moment at 0.00 μB per atom. As for the space group: No. 6. As for the energy of formation: 23.0 meV per atom. The calculation puts the energy above the most stable polymorph in this dataset at 56 meV per atom. The calculation puts the density of states at the Fermi level at 1.256 states/eV/cell.



No. 4
DFT (PBE) results for a relaxed structure of CuReHg2.

a b c (Å): 5.5113 5.5113 5.0920
angles (deg): 68.16 68.16 29.64
Last column: nearest neighbours and their distance in Å.
Atoms (fractional coordinates):
Cu  0.2260  0.2260  0.1977  2 Re 2.66, 2 Cu 2.82, 7 Hg 2.84-2.97
Hg  0.9881  0.9881  0.0745  3 Hg 2.82-3.04, 3 Cu 2.84-2.97, 4 Re 2.88-2.98
Hg  0.7654  0.7654  0.6684  3 Hg 2.82-3.04, 3 Re 2.87-2.92, 4 Cu 2.93-2.95
Re  0.5205  0.5205  0.5593  2 Cu 2.66, 2 Re 2.82, 7 Hg 2.87-2.98

Values from the calculation:
The calculation puts the size of the total moment at 0.00 μB per atom. As for the space group: No. 8. As for the energy of formation: 634.2 meV per atom. The calculation puts the energy above the most stable polymorph in this dataset at 89 meV per atom. The calculation puts the density of states at the Fermi level at 1.827 states/eV/cell.